Entry 1:
This record from Alexandria describes a relaxed Tl2TeW crystal. The functional is PBE-GGA.

Unit cell a=3.412 b=5.674 c=5.300 alpha=90.00 beta=93.79 gamma=90.00
Space group P2/m (No. 10)
One atom of each set of equivalent atoms:
1 Tl 0.220 0.000 0.259 [2 per cell]
2 Te 0.500 0.500 0.000 [1 per cell]
3 W 0.500 0.500 0.500 [1 per cell]

The value obtained for the raw total energy is -4.293 eV per atom. The formation energy (no corrections) comes out at 0.91 eV/atom. Its crystal system is monoclinic.

***

Entry 2:
This record from Alexandria describes a relaxed TlTe3W crystal. The functional is PBE-GGA.

Unit cell a=5.402 b=5.402 c=5.402 alpha=90.00 beta=90.00 gamma=90.00
Space group Pm-3m (No. 221)
One atom of each set of equivalent atoms:
1 Tl 0.000 0.000 0.000 [1 per cell]
2 Te 0.000 0.500 0.500 [3 per cell]
3 W 0.500 0.500 0.500 [1 per cell]

The value obtained for the raw total energy is -4.603 eV per atom. The formation energy (no corrections) comes out at 0.35 eV/atom. Its crystal system is cubic.

***

Entry 3:
This record from Alexandria describes a relaxed Tl2TeW crystal. The functional is PBE-GGA.

Unit cell a=4.902 b=4.902 c=8.201 alpha=90.00 beta=90.00 gamma=90.00
Space group I-4m2 (No. 119)
One atom of each set of equivalent atoms:
1 Tl 0.000 0.000 0.000 [2 per cell]
2 Tl 0.000 0.500 0.250 [2 per cell]
3 Te 0.000 0.000 0.500 [2 per cell]
4 W 0.000 0.500 0.750 [2 per cell]

The value obtained for the raw total energy is -4.192 eV per atom. The formation energy (no corrections) comes out at 1.01 eV/atom. Its crystal system is tetragonal.

***

Entry 4:
This record from Alexandria describes a relaxed TlTeW2 crystal. The functional is PBE-GGA.

Unit cell a=3.210 b=5.326 c=9.330 alpha=90.00 beta=90.00 gamma=90.00
Space group Cmmm (No. 65)
One atom of each set of equivalent atoms:
1 Tl 0.000 0.000 0.000 [2 per cell]
2 Te 0.000 0.000 0.500 [2 per cell]
3 W 0.000 0.500 0.263 [4 per cell]

The value obtained for the raw total energy is -6.621 eV per atom. The formation energy (no corrections) comes out at 1.23 eV/atom. Its crystal system is orthorhombic.

***

What did the second record say?
This record from Alexandria describes a relaxed TlTe3W crystal. The functional is PBE-GGA.

Unit cell a=5.402 b=5.402 c=5.402 alpha=90.00 beta=90.00 gamma=90.00
Space group Pm-3m (No. 221)
One atom of each set of equivalent atoms:
1 Tl 0.000 0.000 0.000 [1 per cell]
2 Te 0.000 0.500 0.500 [3 per cell]
3 W 0.500 0.500 0.500 [1 per cell]

The value obtained for the raw total energy is -4.603 eV per atom. The formation energy (no corrections) comes out at 0.35 eV/atom. Its crystal system is cubic.